Record 1
VASP calculation (GGA-PBE) on a relaxed AcMgTl2Cd crystal.

a = 4.7362 Å, b = 4.7362 Å, c = 7.2290 Å
α = 109.12°, β = 109.12°, γ = 90.00°
Closest atoms and distances in Å follow each position.
Atoms (fractional coordinates):
Ac 0.0000 0.0000 0.0000  8 Tl 3.66, 4 Cd 3.98, 4 Mg 3.98
Tl 0.3856 0.3856 0.7712  1 Tl 2.93, 2 Cd 2.94, 2 Mg 2.94
Tl 0.6144 0.6144 0.2288  1 Tl 2.93, 2 Cd 2.94, 2 Mg 2.94
Mg 0.7500 0.2500 0.5000  4 Tl 2.94
Cd 0.2500 0.7500 0.5000  4 Tl 2.94

Calculated values
The density of states at the Fermi level comes out at 0.382 states/eV/atom. The calculation puts the total energy at -12.51 eV/cell. For the formation enthalpy at 0 K, the calculation gives -232 meV/atom.

Record 2
VASP calculation (GGA-PBE) on a relaxed AcMgTlCd crystal.

a = 5.4809 Å, b = 5.4809 Å, c = 5.4809 Å
α = 60.00°, β = 60.00°, γ = 60.00°
Closest atoms and distances in Å follow each position.
Atoms (fractional coordinates):
Mg 0.0000 0.0000 0.0000  4 Tl 3.36, 4 Cd 3.36
Cd 0.7500 0.7500 0.7500  4 Ac 3.36, 4 Mg 3.36
Ac 0.5000 0.5000 0.5000  4 Cd 3.36, 4 Tl 3.36
Tl 0.2500 0.2500 0.2500  4 Ac 3.36, 4 Mg 3.36

Calculated values
The density of states at the Fermi level comes out at 0.401 states/eV/atom. The calculation puts the total energy at -10.10 eV/cell. For the formation enthalpy at 0 K, the calculation gives -280 meV/atom.

Record 3
VASP calculation (GGA-PBE) on a relaxed AcMg2Tl4Cd crystal.

a = 5.2181 Å, b = 5.2181 Å, c = 10.0392 Å
α = 74.94°, β = 74.94°, γ = 60.00°
Closest atoms and distances in Å follow each position.
Atoms (fractional coordinates):
Tl 0.6095 0.6095 0.1716  3 Mg 3.10, 1 Cd 3.14, 3 Ac 3.43
Tl 0.1296 0.1296 0.6113  3 Cd 3.20, 4 Mg 3.29-3.46
Tl 0.8704 0.8704 0.3887  3 Cd 3.20, 4 Mg 3.29-3.46
Tl 0.3905 0.3905 0.8284  3 Mg 3.10, 1 Cd 3.14, 3 Ac 3.43
Mg 0.7500 0.7500 0.7500  7 Tl 3.10-3.46
Mg 0.2500 0.2500 0.2500  7 Tl 3.10-3.46
Ac 0.0000 0.0000 0.0000  8 Tl 3.43-3.72
Cd 0.5000 0.5000 0.5000  8 Tl 3.14-3.20

Calculated values
The density of states at the Fermi level comes out at 0.400 states/eV/atom. The calculation puts the total energy at -18.82 eV/cell. For the formation enthalpy at 0 K, the calculation gives -143 meV/atom.

Repeat the second record exactly.
VASP calculation (GGA-PBE) on a relaxed AcMgTlCd crystal.

a = 5.4809 Å, b = 5.4809 Å, c = 5.4809 Å
α = 60.00°, β = 60.00°, γ = 60.00°
Closest atoms and distances in Å follow each position.
Atoms (fractional coordinates):
Mg 0.0000 0.0000 0.0000  4 Tl 3.36, 4 Cd 3.36
Cd 0.7500 0.7500 0.7500  4 Ac 3.36, 4 Mg 3.36
Ac 0.5000 0.5000 0.5000  4 Cd 3.36, 4 Tl 3.36
Tl 0.2500 0.2500 0.2500  4 Ac 3.36, 4 Mg 3.36

Calculated values
The density of states at the Fermi level comes out at 0.401 states/eV/atom. The calculation puts the total energy at -10.10 eV/cell. For the formation enthalpy at 0 K, the calculation gives -280 meV/atom.